Entry 1:
The following is a DFT calculation (PBE) of LaTlCdS3 after structural relaxation.

Values from the calculation:
Total energy: -4.61 eV per atom
Energy above the most stable polymorph in this dataset: 7.2 meV/atom

Cell lengths 11.743, 4.389, 12.255 Å; angles 90.00, 90.00, 90.00 degrees
Space group Pnma (No. 62)
Asymmetric unit:
La: 0.017 0.250 0.172 (multiplicity 4)
Tl: 0.158 0.250 0.510 (multiplicity 4)
Cd: 0.250 0.250 0.799 (multiplicity 4)
S: 0.038 0.750 0.331 (multiplicity 4)
S: 0.096 0.250 0.942 (multiplicity 4)
S: 0.223 0.750 0.691 (multiplicity 4)


Entry 2:
The following is a DFT calculation (PBE) of LaTlCdS3 after structural relaxation.

Values from the calculation:
Total energy: -4.56 eV per atom
Energy above the most stable polymorph in this dataset: 58.5 meV/atom

Cell lengths 17.427, 4.269, 9.136 Å; angles 90.00, 106.75, 90.00 degrees
Space group C2/m (No. 12)
Asymmetric unit:
La: 0.174 0.000 0.112 (multiplicity 4)
Tl: 0.133 0.000 0.570 (multiplicity 4)
Cd: 0.001 0.500 0.211 (multiplicity 4)
S: 0.000 0.000 0.000 (multiplicity 2)
S: 0.000 0.500 0.500 (multiplicity 2)
S: 0.157 0.500 0.305 (multiplicity 4)
S: 0.160 0.500 0.887 (multiplicity 4)


Entry 3:
The following is a DFT calculation (PBE) of LaCdSb after structural relaxation.

Values from the calculation:
Total energy: -3.78 eV per atom
Energy above the most stable polymorph in this dataset: 0.0 meV/atom

Cell lengths 7.471, 7.471, 7.471 Å; angles 90.00, 90.00, 90.00 degrees
Space group F-43m (No. 216)
Asymmetric unit:
La: 0.000 0.000 0.000 (multiplicity 4)
Cd: 0.250 0.250 0.750 (multiplicity 4)
Sb: 0.250 0.250 0.250 (multiplicity 4)


Entry 4:
The following is a DFT calculation (PBE) of LaCdSb after structural relaxation.

Values from the calculation:
Total energy: -3.70 eV per atom
Energy above the most stable polymorph in this dataset: 86.4 meV/atom

Cell lengths 7.321, 7.321, 7.321 Å; angles 90.00, 90.00, 90.00 degrees
Space group F-43m (No. 216)
Asymmetric unit:
La: 0.000 0.000 0.000 (multiplicity 4)
Cd: 0.000 0.000 0.500 (multiplicity 4)
Sb: 0.250 0.250 0.250 (multiplicity 4)


Entry 5:
The following is a DFT calculation (PBE) of La2CdSb2 after structural relaxation.

Values from the calculation:
Total energy: -4.64 eV per atom

Cell lengths 6.887, 4.561, 19.728 Å; angles 90.00, 90.00, 90.00 degrees
Space group Pnma (No. 62)
Asymmetric unit:
La: 0.055 0.250 0.233 (multiplicity 4)
La: 0.233 0.250 0.449 (multiplicity 4)
Cd: 0.145 0.250 0.648 (multiplicity 4)
Sb: 0.221 0.250 0.837 (multiplicity 4)
Sb: 0.228 0.250 0.069 (multiplicity 4)


Entry 6:
The following is a DFT calculation (PBE) of LaScCd6 after structural relaxation.

Values from the calculation:
Total energy: -2.31 eV per atom
Formation energy: -0.2364 eV per atom

Cell lengths 4.847, 7.202, 10.719 Å; angles 90.00, 90.00, 90.00 degrees
Space group Amm2 (No. 38)
Asymmetric unit:
La: 0.000 0.000 0.000 (multiplicity 2)
Sc: 0.500 0.000 0.731 (multiplicity 2)
Cd: 0.000 0.000 0.552 (multiplicity 2)
Cd: 0.000 0.217 0.271 (multiplicity 4)
Cd: 0.500 0.000 0.199 (multiplicity 2)
Cd: 0.500 0.209 0.463 (multiplicity 4)


Entry 7:
The following is a DFT calculation (PBE) of La3CdSe after structural relaxation.

Values from the calculation:
Total energy: -4.46 eV per atom

Cell lengths 8.014, 11.333, 8.013 Å; angles 90.00, 90.00, 90.00 degrees
Space group Imma (No. 74)
Asymmetric unit:
La: 0.000 0.250 0.004 (multiplicity 4)
La: 0.250 0.002 0.750 (multiplicity 8)
Cd: 0.000 0.250 0.500 (multiplicity 4)
Se: 0.000 0.000 0.000 (multiplicity 4)


Entry 8:
The following is a DFT calculation (PBE) of LaTlCdSe3 after structural relaxation.

Values from the calculation:
Total energy: -4.24 eV per atom
Energy above the most stable polymorph in this dataset: 2.4 meV/atom

Cell lengths 4.415, 14.545, 11.609 Å; angles 90.00, 90.00, 90.00 degrees
Space group Cmcm (No. 63)
Asymmetric unit:
La: 0.000 0.000 0.000 (multiplicity 4)
Tl: 0.000 0.250 0.250 (multiplicity 4)
Cd: 0.000 0.462 0.750 (multiplicity 4)
Se: 0.000 0.073 0.750 (multiplicity 4)
Se: 0.000 0.365 0.559 (multiplicity 8)


Entry 9:
The following is a DFT calculation (PBE) of LaTlCdSe3 after structural relaxation.

Values from the calculation:
Total energy: -4.23 eV per atom
Energy above the most stable polymorph in this dataset: 15.4 meV/atom

Cell lengths 8.183, 4.406, 10.659 Å; angles 90.00, 103.84, 90.00 degrees
Space group P2_1/m (No. 11)
Asymmetric unit:
La: 0.217 0.250 0.123 (multiplicity 2)
Tl: 0.210 0.750 0.706 (multiplicity 2)
Cd: 0.430 0.750 0.387 (multiplicity 2)
Se: 0.027 0.250 0.850 (multiplicity 2)
Se: 0.261 0.250 0.433 (multiplicity 2)
Se: 0.473 0.750 0.149 (multiplicity 2)


Entry 10:
The following is a DFT calculation (PBE) of LaTlCdSe3 after structural relaxation.

Values from the calculation:
Total energy: -4.20 eV per atom
Energy above the most stable polymorph in this dataset: 44.0 meV/atom

Cell lengths 8.558, 4.576, 17.432 Å; angles 90.00, 90.00, 90.00 degrees
Space group Pnma (No. 62)
Asymmetric unit:
La: 0.237 0.250 0.042 (multiplicity 4)
Tl: 0.060 0.250 0.793 (multiplicity 4)
Cd: 0.115 0.250 0.352 (multiplicity 4)
Se: 0.008 0.250 0.584 (multiplicity 4)
Se: 0.123 0.750 0.945 (multiplicity 4)
Se: 0.217 0.250 0.210 (multiplicity 4)


Entry 11:
The following is a DFT calculation (PBE) of LaTlCdSe3 after structural relaxation.

Values from the calculation:
Total energy: -4.19 eV per atom
Energy above the most stable polymorph in this dataset: 59.2 meV/atom

Cell lengths 18.184, 4.403, 9.459 Å; angles 90.00, 106.45, 90.00 degrees
Space group C2/m (No. 12)
Asymmetric unit:
La: 0.175 0.000 0.110 (multiplicity 4)
Tl: 0.133 0.000 0.573 (multiplicity 4)
Cd: 0.005 0.500 0.212 (multiplicity 4)
Se: 0.000 0.000 0.000 (multiplicity 2)
Se: 0.000 0.500 0.500 (multiplicity 2)
Se: 0.159 0.500 0.881 (multiplicity 4)
Se: 0.162 0.500 0.312 (multiplicity 4)


Entry 12:
The following is a DFT calculation (PBE) of LaTlCdSe3 after structural relaxation.

Values from the calculation:
Total energy: -4.24 eV per atom
Energy above the most stable polymorph in this dataset: 5.4 meV/atom

Cell lengths 12.114, 4.534, 12.774 Å; angles 90.00, 90.00, 90.00 degrees
Space group Pnma (No. 62)
Asymmetric unit:
La: 0.017 0.250 0.178 (multiplicity 4)
Tl: 0.165 0.250 0.501 (multiplicity 4)
Cd: 0.250 0.250 0.796 (multiplicity 4)
Se: 0.036 0.750 0.339 (multiplicity 4)
Se: 0.095 0.250 0.941 (multiplicity 4)
Se: 0.222 0.750 0.685 (multiplicity 4)